A relaxed MoBrOF2 crystal. Source: Alexandria, functional GGA+U.

N(E_F) (states/eV/cell): 1.85
ΔE to the lowest computed polymorph (meV per atom): 0
Magnetization (μB/cell): 1.00

Cell: 4.300 4.300 3.992 Å, 90.00 90.00 90.00°
Space group P4/mmm (No. 123)
One atom of each set of equivalent atoms:
Mo  0.000  0.000  0.000 (multiplicity 1)
Br  0.500  0.500  0.500 (multiplicity 1)
O  0.000  0.000  0.500 (multiplicity 1)
F  0.000  0.500  0.000 (multiplicity 2)